## 1
DFT (PBE) results for crystalline Be2TcW at its relaxed geometry.

a = 4.600 Å, b = 4.600 Å, c = 4.121 Å
α = 63.80°, β = 63.80°, γ = 39.92°
Element x y z (fractional)
Be 0.495 0.495 0.510
Tc 0.750 0.750 0.750
W 0.250 0.250 0.250
Be 0.005 0.005 0.990

## Properties
SG = C2/m (12)
Magnetization = 0.0 μB per formula unit



## 2
DFT (PBE) results for crystalline Be2TcW at its relaxed geometry.

a = 8.173 Å, b = 8.173 Å, c = 8.173 Å
α = 19.24°, β = 19.24°, γ = 19.24°
Element x y z (fractional)
Tc 0.507 0.507 0.507
Be 0.994 0.994 0.994
W 0.746 0.746 0.746
Be 0.253 0.253 0.253

## Properties
SG = R3m (160)
Magnetization = 0.0 μB per formula unit



The most stable of them is 1.



## 1
DFT (PBE) results for crystalline ZrTl2Cu at its relaxed geometry.

a = 5.421 Å, b = 5.421 Å, c = 5.421 Å
α = 131.92°, β = 131.92°, γ = 70.35°
Element x y z (fractional)
Tl 0.500 0.500 0.000
Tl 0.000 0.000 0.000
Zr 0.750 0.250 0.500
Cu 0.250 0.750 0.500

## Properties
SG = I4/mmm (139)
Magnetization = 0.0 μB per formula unit



## 2
DFT (PBE) results for crystalline ZrTl2Cu at its relaxed geometry.

a = 3.354 Å, b = 3.354 Å, c = 8.056 Å
α = 90.00°, β = 90.00°, γ = 90.02°
Element x y z (fractional)
Tl 0.500 0.500 0.271
Tl 0.000 0.000 0.958
Zr 0.000 0.000 0.545
Cu 0.500 0.500 0.727

## Properties
SG = P4mm (99)
Magnetization = 0.0 μB per formula unit



The most stable of them is 2.



## 1
DFT (PBE) results for crystalline CuTc2Os at its relaxed geometry.

a = 4.751 Å, b = 4.751 Å, c = 4.609 Å
α = 80.46°, β = 80.46°, γ = 33.24°
Element x y z (fractional)
Os 0.250 0.250 0.250
Tc 0.994 0.994 0.006
Tc 0.506 0.506 0.494
Cu 0.750 0.750 0.750

## Properties
SG = C2/m (12)
Magnetization = 0.0 μB per formula unit



## 2
DFT (PBE) results for crystalline CuTc2Os at its relaxed geometry.

a = 5.156 Å, b = 5.156 Å, c = 5.156 Å
α = 147.56°, β = 129.77°, γ = 61.08°
Element x y z (fractional)
Tc 0.003 0.003 0.000
Cu 0.498 0.498 0.000
Os 0.260 0.760 0.500
Tc 0.739 0.239 0.500

## Properties
SG = Imm2 (44)
Magnetization = 0.0 μB per formula unit



The most stable of them is 1.



## 1
DFT (PBE) results for crystalline ZnMo5 at its relaxed geometry.

a = 2.645 Å, b = 2.645 Å, c = 13.596 Å
α = 90.00°, β = 90.00°, γ = 90.00°
Element x y z (fractional)
Zn 0.500 0.500 0.000
Mo 0.000 0.000 0.500
Mo 0.000 0.000 0.843
Mo 0.500 0.500 0.670
Mo 0.500 0.500 0.330
Mo 0.000 0.000 0.157

## Properties
SG = P4/mmm (123)
Magnetization = 0.0 μB per formula unit



## 2
DFT (PBE) results for crystalline ZnMo5 at its relaxed geometry.

a = 3.245 Å, b = 4.377 Å, c = 6.936 Å
α = 108.40°, β = 90.00°, γ = 90.00°
Element x y z (fractional)
Mo 0.500 0.831 0.662
Mo 0.000 0.338 0.675
Zn 0.000 0.000 0.000
Mo 0.000 0.662 0.325
Mo 0.500 0.169 0.338
Mo 0.500 0.500 0.000

## Properties
SG = Cmmm (65)
Magnetization = 0.0 μB per formula unit



The most stable of them is 2.



## 1
DFT (PBE) results for crystalline Mg2TaPt at its relaxed geometry.

a = 2.919 Å, b = 2.919 Å, c = 8.216 Å
α = 90.00°, β = 90.00°, γ = 90.00°
Element x y z (fractional)
Mg 0.000 0.000 0.031
Pt 0.500 0.500 0.250
Ta 0.500 0.500 0.750
Mg 0.000 0.000 0.469

## Properties
SG = P4/mmm (123)
Magnetization = 0.0 μB per formula unit



## 2
DFT (PBE) results for crystalline Mg2TaPt at its relaxed geometry.

a = 5.388 Å, b = 5.388 Å, c = 5.388 Å
α = 142.80°, β = 128.92°, γ = 64.86°
Element x y z (fractional)
Pt 0.491 0.491 0.000
Ta 0.276 0.776 0.500
Mg 0.003 0.003 0.000
Mg 0.730 0.230 0.500

## Properties
SG = Imm2 (44)
Magnetization = 0.0 μB per formula unit



The most stable of them is 1.